Entry 1:
## LaCe (GGA-PBE)

Data for a geometry-optimized LaCe structure.

Computed properties:
SG: P-3m1, No. 164
Relative energy among the computed polymorphs in eV per atom: 0.062
Energy in eV per atom: -5.299

a = 3.8754 Å, b = 3.8754 Å, c = 10.4442 Å
α = 90.00°, β = 90.00°, γ = 120.00°
With the nearest neighbours (Å) after each atom.
Positions (direct):
La (0.3333, 0.6667, 0.1436)  3 Ce 3.72, 9 La 3.74-3.88
La (0.6667, 0.3333, 0.8564)  3 Ce 3.72, 9 La 3.74-3.88
Ce (0.3333, 0.6667, 0.5722)  3 Ce 2.70
Ce (0.6667, 0.3333, 0.4278)  3 Ce 2.70



Entry 2:
## La3Ce (GGA-PBE)

Data for a geometry-optimized La3Ce structure.

Computed properties:
SG: Pm-3m, No. 221
Energy in eV per atom: -5.114

a = 5.1543 Å, b = 5.1543 Å, c = 5.1543 Å
α = 90.00°, β = 90.00°, γ = 90.00°
With the nearest neighbours (Å) after each atom.
Positions (direct):
La (0.0000, 0.0000, 0.5000)  4 Ce 3.64, 8 La 3.64
La (0.0000, 0.5000, 0.0000)  4 Ce 3.64, 8 La 3.64
La (0.5000, 0.0000, 0.0000)  4 Ce 3.64, 8 La 3.64
Ce (0.5000, 0.5000, 0.5000)  12 La 3.64



Entry 3:
## La4Ce (GGA-PBE)

Data for a geometry-optimized La4Ce structure.

Computed properties:
SG: R-3m, No. 166
Relative energy among the computed polymorphs in eV per atom: 0.000
Energy in eV per atom: -5.083

a = 15.1636 Å, b = 15.1636 Å, c = 15.1636 Å
α = 13.81°, β = 13.81°, γ = 13.81°
With the nearest neighbours (Å) after each atom.
Positions (direct):
La (0.1043, 0.1043, 0.1043)  3 Ce 3.51, 9 La 3.65-3.81
La (0.2995, 0.2995, 0.2995)  12 La 3.65-3.81
La (0.7005, 0.7005, 0.7005)  12 La 3.65-3.81
La (0.8957, 0.8957, 0.8957)  3 Ce 3.51, 9 La 3.65-3.81
Ce (0.5000, 0.5000, 0.5000)  6 La 3.51, 6 Ce 3.65



no.,ΔE_f (eV per atom)
1,0.13
2,0.06
3,0.05